No. 1
! TaZnPt2 | Alexandria via LeMat-Bulk | PBE | relaxed; values from VASP
! * spin magnetization: 0.00 μB/atom
! * formation enthalpy at 0 K: -0.509 eV per atom
&SYSTEM
  ibrav = 0, nat = 4, ntyp = 3
/
ATOMIC_SPECIES
Zn 65.41 Zn.upf
Ta 180.95 Ta.upf
Pt 195.08 Pt.upf
CELL_PARAMETERS angstrom
0.000 3.179 3.179
3.179 0.000 3.179
3.179 3.179 0.000
ATOMIC_POSITIONS crystal
Zn 0.000 0.000 0.000
Ta 0.500 0.500 0.500
Pt 0.750 0.750 0.750
Pt 0.250 0.250 0.250

No. 2
! TaZn2Pt | Alexandria via LeMat-Bulk | PBE | relaxed; values from VASP
! * spin magnetization: 0.24 μB/atom
! * energy above the lowest structure with this stoichiometry: 0.265 eV per atom
! * formation enthalpy at 0 K: -0.060 eV per atom
&SYSTEM
  ibrav = 0, nat = 4, ntyp = 3
/
ATOMIC_SPECIES
Zn 65.41 Zn.upf
Ta 180.95 Ta.upf
Pt 195.08 Pt.upf
CELL_PARAMETERS angstrom
0.000 3.126 3.126
3.126 0.000 3.126
3.126 3.126 0.000
ATOMIC_POSITIONS crystal
Zn 0.750 0.750 0.750
Zn 0.250 0.250 0.250
Ta 0.000 0.000 0.000
Pt 0.500 0.500 0.500

No. 3
! TaZnPt6 | Alexandria via LeMat-Bulk | PBE | relaxed; values from VASP
! * spin magnetization: 0.00 μB/atom
! * formation enthalpy at 0 K: -0.608 eV per atom
&SYSTEM
  ibrav = 0, nat = 8, ntyp = 3
/
ATOMIC_SPECIES
Pt 195.08 Pt.upf
Zn 65.41 Zn.upf
Ta 180.95 Ta.upf
CELL_PARAMETERS angstrom
3.982 0.000 0.000
0.000 3.982 0.000
0.000 0.000 7.854
ATOMIC_POSITIONS crystal
Pt 0.500 0.000 0.253
Pt 0.000 0.500 0.253
Pt 0.000 0.500 0.747
Pt 0.500 0.000 0.747
Pt 0.500 0.500 0.500
Pt 0.500 0.500 0.000
Zn 0.000 0.000 0.000
Ta 0.000 0.000 0.500

No. 4
! Ta2ZnPt | Alexandria via LeMat-Bulk | PBE | relaxed; values from VASP
! * spin magnetization: 0.00 μB/atom
! * energy above the lowest structure with this stoichiometry: 0.539 eV per atom
! * formation enthalpy at 0 K: 0.227 eV per atom
&SYSTEM
  ibrav = 0, nat = 8, ntyp = 3
/
ATOMIC_SPECIES
Ta 180.95 Ta.upf
Zn 65.41 Zn.upf
Pt 195.08 Pt.upf
CELL_PARAMETERS angstrom
-4.094 -2.961 5.349
-1.116 -5.967 -4.157
-0.409 -5.605 1.645
ATOMIC_POSITIONS crystal
Ta 0.645 0.125 0.250
Ta 0.875 0.895 0.750
Ta 0.375 0.355 0.750
Ta 0.105 0.625 0.250
Zn 0.250 0.750 0.500
Zn 0.500 0.500 0.000
Pt 0.000 0.000 0.000
Pt 0.750 0.250 0.500

Question: Number 4 is which compound?
Answer: Ta2ZnPt